[1]
Here is crystalline Sm3S4Br at its relaxed geometry from Alexandria. Energies are from PBE.

## Properties
For the total energy, the calculation gives -48.08 eV/f.u. Its formation energy (no corrections) is -1967.1 meV/atom. The symmetry is Cc.

Cell lengths 8.061, 8.061, 9.852 Å; angles 108.45, 108.45, 52.61 degrees
Element x y z (fractional)
1 Sm 0.006 0.994 0.500
2 Sm 0.340 0.385 0.277
3 Sm 0.385 0.340 0.777
4 Sm 0.584 0.608 0.694
5 Sm 0.608 0.584 0.194
6 Sm 0.994 0.006 0.000
7 S 0.017 0.335 0.149
8 S 0.180 0.786 0.240
9 S 0.236 0.577 0.553
10 S 0.335 0.017 0.649
11 S 0.394 0.711 0.928
12 S 0.577 0.236 0.053
13 S 0.711 0.394 0.428
14 S 0.786 0.180 0.740
15 Br 0.634 0.948 0.350
16 Br 0.948 0.634 0.850

[2]
Here is crystalline NaPa3Te6 at its relaxed geometry from Alexandria. Energies are from PBE.

## Properties
The offset from the most stable computed form is 0.000 eV/atom. For the total energy, the calculation gives -56.50 eV/f.u. Its formation energy (no corrections) is -784.1 meV/atom. The symmetry is Cmc2_1.

Cell lengths 9.412, 9.412, 7.678 Å; angles 90.00, 90.00, 102.41 degrees
Element x y z (fractional)
1 Na 0.179 0.821 0.500
2 Na 0.821 0.179 0.000
3 Pa 0.073 0.278 0.486
4 Pa 0.278 0.073 0.986
5 Pa 0.407 0.593 0.870
6 Pa 0.593 0.407 0.370
7 Pa 0.722 0.927 0.486
8 Pa 0.927 0.722 0.986
9 Te 0.004 0.996 0.742
10 Te 0.090 0.542 0.730
11 Te 0.241 0.759 0.124
12 Te 0.291 0.374 0.173
13 Te 0.374 0.291 0.673
14 Te 0.458 0.910 0.730
15 Te 0.542 0.090 0.230
16 Te 0.626 0.709 0.173
17 Te 0.709 0.626 0.673
18 Te 0.759 0.241 0.624
19 Te 0.910 0.458 0.230
20 Te 0.996 0.004 0.242

[3]
Here is crystalline RbBeAsSe2 at its relaxed geometry from Alexandria. Energies are from PBE.

## Properties
The offset from the most stable computed form is 0.000 eV/atom. For the total energy, the calculation gives -16.59 eV/f.u. Its formation energy (no corrections) is -54.6 meV/atom. The symmetry is P4/mmm.

Cell lengths 5.094, 5.094, 4.471 Å; angles 90.00, 90.00, 90.00 degrees
Element x y z (fractional)
1 Rb 0.000 0.000 0.000
2 Be 0.500 0.500 0.500
3 As 0.500 0.500 0.000
4 Se 0.000 0.500 0.500
5 Se 0.500 0.000 0.500

no.,D(E_F) (states/eV per atom),spin magnetization (μB/atom)
1,0.000,0.000
2,1.760,0.395
3,0.598,0.000